# 1
Entry from Alexandria: a relaxed Er2Pt crystal (GGA-PBEsol).

a b c (Å): 6.9580 4.6539 8.5941
angles (deg): 90.00 90.00 90.00
Atoms (fractional coordinates):
Er 0.0101 0.2500 0.1698
Er 0.1458 0.2500 0.5797
Er 0.3542 0.7500 0.0797
Er 0.4899 0.7500 0.6698
Er 0.5101 0.2500 0.3302
Er 0.6458 0.2500 0.9203
Er 0.8542 0.7500 0.4203
Er 0.9899 0.7500 0.8302
Pt 0.2409 0.2500 0.9061
Pt 0.2591 0.7500 0.4061
Pt 0.7409 0.2500 0.5939
Pt 0.7591 0.7500 0.0939

Values from the calculation:
- Uncorrected energy: -6.567 eV/atom
- Size of the total moment: 0.0000 μB/atom
- ΔE_f: -0.96 eV/atom
- V: 278.3 Å³/cell



# 2
Entry from Alexandria: a relaxed LaMnRh crystal (GGA-PBEsol).

a b c (Å): 4.5967 4.5967 4.5967
angles (deg): 60.00 60.00 60.00
Atoms (fractional coordinates):
La 0.0000 0.0000 0.0000
Mn 0.5000 0.5000 0.5000
Rh 0.7500 0.7500 0.7500

Values from the calculation:
- Uncorrected energy: -7.646 eV/atom
- Size of the total moment: 1.5086 μB/atom
- ΔE_f: 0.10 eV/atom
- V: 68.7 Å³/cell



# 3
Entry from Alexandria: a relaxed CdIr2Ru crystal (GGA-PBEsol).

a b c (Å): 4.7733 4.7733 4.8112
angles (deg): 99.37 99.37 33.40
Atoms (fractional coordinates):
Cd 0.0000 0.0000 0.0000
Ir 0.2409 0.2409 0.7339
Ir 0.7591 0.7591 0.2661
Ru 0.5000 0.5000 0.5000

Values from the calculation:
- Uncorrected energy: -7.519 eV/atom
- Size of the total moment: 0.0015 μB/atom
- ΔE_f: 0.24 eV/atom
- V: 59.5 Å³/cell



# 4
Entry from Alexandria: a relaxed ReTeIr4 crystal (GGA-PBEsol).

a b c (Å): 5.1661 5.1661 5.1661
angles (deg): 60.00 60.00 60.00
Atoms (fractional coordinates):
Re 0.0000 0.0000 0.0000
Te 0.2500 0.2500 0.2500
Ir 0.1226 0.6258 0.6258
Ir 0.6258 0.1226 0.6258
Ir 0.6258 0.6258 0.1226
Ir 0.6258 0.6258 0.6258

Values from the calculation:
- Uncorrected energy: -8.510 eV/atom
- Size of the total moment: 0.0006 μB/atom
- V: 97.5 Å³/cell
- E_form (uncorrected): 848 meV/atom



# 5
Entry from Alexandria: a relaxed TlBr2 crystal (GGA-PBEsol).

a b c (Å): 7.9314 10.1267 10.3709
angles (deg): 90.00 90.00 90.00
Atoms (fractional coordinates):
Tl 0.1763 0.2500 0.2500
Tl 0.2500 0.0000 0.6765
Tl 0.2500 0.5000 0.8235
Tl 0.3237 0.7500 0.2500
Tl 0.6763 0.2500 0.7500
Tl 0.7500 0.0000 0.3235
Tl 0.7500 0.5000 0.1765
Tl 0.8237 0.7500 0.7500
Br 0.0079 0.5488 0.3243
Br 0.0079 0.9512 0.1757
Br 0.1422 0.6972 0.9600
Br 0.1422 0.8028 0.5400
Br 0.3578 0.1972 0.5400
Br 0.3578 0.3028 0.9600
Br 0.4921 0.0488 0.1757
Br 0.4921 0.4512 0.3243
Br 0.5079 0.5488 0.6757
Br 0.5079 0.9512 0.8243
Br 0.6422 0.6972 0.0400
Br 0.6422 0.8028 0.4600
Br 0.8578 0.1972 0.4600
Br 0.8578 0.3028 0.0400
Br 0.9921 0.0488 0.8243
Br 0.9921 0.4512 0.6757

Values from the calculation:
- Uncorrected energy: -2.695 eV/atom
- Size of the total moment: 0.0000 μB/atom
- V: 833.0 Å³/cell
- E_form (uncorrected): -572 meV/atom



# 6
Entry from Alexandria: a relaxed LaZnIr crystal (GGA-PBEsol).

a b c (Å): 4.6105 4.6105 4.6105
angles (deg): 60.00 60.00 60.00
Atoms (fractional coordinates):
La 0.0000 0.0000 0.0000
Zn 0.5000 0.5000 0.5000
Ir 0.2500 0.2500 0.2500

Values from the calculation:
- Uncorrected energy: -5.908 eV/atom
- Size of the total moment: 0.0001 μB/atom
- ΔE_f: -0.32 eV/atom
- V: 69.3 Å³/cell



# 7
Entry from Alexandria: a relaxed Nd2CuSi3Rh2 crystal (GGA-PBEsol).

a b c (Å): 4.0693 8.7574 8.7574
angles (deg): 26.87 90.00 90.00
Atoms (fractional coordinates):
Nd 0.0000 0.0000 0.0000
Nd 0.5000 0.2073 0.2073
Cu 0.5000 0.5695 0.5695
Si 0.0000 0.6369 0.6369
Si 0.0000 0.7797 0.7797
Si 0.5000 0.4292 0.4292
Rh 0.0000 0.3541 0.3541
Rh 0.5000 0.8544 0.8544

Values from the calculation:
- Uncorrected energy: -6.986 eV/atom
- Size of the total moment: 0.0000 μB/atom
- V: 141.0 Å³/cell
- E_form (uncorrected): -963 meV/atom



# 8
Entry from Alexandria: a relaxed MnH8SO8 crystal (GGA-PBEsol).

a b c (Å): 5.8154 13.8355 9.7647
angles (deg): 90.00 126.24 90.00
Atoms (fractional coordinates):
Mn 0.1531 0.1064 0.2186
Mn 0.1531 0.3936 0.7186
Mn 0.8469 0.6064 0.2814
Mn 0.8469 0.8936 0.7814
H 0.0631 0.7335 0.7250
H 0.0631 0.7665 0.2250
H 0.0968 0.0856 0.4792
H 0.0968 0.4144 0.9792
H 0.1266 0.1896 0.7193
H 0.1266 0.3104 0.2193
H 0.1280 0.5132 0.1708
H 0.1280 0.9868 0.6708
H 0.3222 0.6863 0.0166
H 0.3222 0.8137 0.5166
H 0.3675 0.5939 0.9378
H 0.3675 0.9061 0.4378
H 0.4344 0.1087 0.0605
H 0.4344 0.3913 0.5605
H 0.4711 0.2041 0.1622
H 0.4711 0.2959 0.6622
H 0.5289 0.7041 0.3378
H 0.5289 0.7959 0.8378
H 0.5656 0.6087 0.4395
H 0.5656 0.8913 0.9395
H 0.6325 0.0939 0.5622
H 0.6325 0.4061 0.0622
H 0.6778 0.1863 0.4834
H 0.6778 0.3137 0.9834
H 0.8720 0.0132 0.3292
H 0.8720 0.4868 0.8292
H 0.8734 0.6896 0.7807
H 0.8734 0.8104 0.2807
H 0.9032 0.5856 0.0208
H 0.9032 0.9144 0.5208
H 0.9369 0.2335 0.7750
H 0.9369 0.2665 0.2750
S 0.3912 0.6086 0.6820
S 0.3912 0.8914 0.1820
S 0.6088 0.1086 0.8180
S 0.6088 0.3914 0.3180
O 0.0123 0.2472 0.7083
O 0.0123 0.2528 0.2083
O 0.0149 0.5735 0.1448
O 0.0149 0.9265 0.6448
O 0.2631 0.5476 0.7468
O 0.2631 0.9524 0.2468
O 0.2837 0.5773 0.5084
O 0.2837 0.9227 0.0084
O 0.2902 0.0962 0.7035
O 0.2902 0.4038 0.2035
O 0.3226 0.7113 0.6846
O 0.3226 0.7887 0.1846
O 0.3336 0.1517 0.0890
O 0.3336 0.3483 0.5890
O 0.4345 0.6263 0.0467
O 0.4345 0.8737 0.5467
O 0.5655 0.1263 0.4533
O 0.5655 0.3737 0.9533
O 0.6664 0.6517 0.4110
O 0.6664 0.8483 0.9110
O 0.6774 0.2113 0.8154
O 0.6774 0.2887 0.3154
O 0.7098 0.5962 0.7965
O 0.7098 0.9038 0.2965
O 0.7163 0.0773 0.9916
O 0.7163 0.4227 0.4916
O 0.7369 0.0476 0.7532
O 0.7369 0.4524 0.2532
O 0.9851 0.0735 0.3552
O 0.9851 0.4265 0.8552
O 0.9877 0.7472 0.7917
O 0.9877 0.7528 0.2917

Values from the calculation:
- Uncorrected energy: -5.763 eV/atom
- Size of the total moment: 0.2778 μB/atom
- V: 633.7 Å³/cell



# 9
Entry from Alexandria: a relaxed HgHSe2N crystal (GGA-PBEsol).

a b c (Å): 5.3345 5.3345 4.0959
angles (deg): 90.00 90.00 90.00
Atoms (fractional coordinates):
Hg 0.0000 0.0000 0.0000
H 0.5000 0.5000 0.5000
Se 0.0000 0.5000 0.0000
Se 0.5000 0.0000 0.0000
N 0.0000 0.0000 0.5000

Values from the calculation:
- Uncorrected energy: -2.200 eV/atom
- Size of the total moment: 0.6839 μB/atom
- V: 116.6 Å³/cell



# 10
Entry from Alexandria: a relaxed SrLa4TiAl4O15 crystal (GGA-PBEsol).

a b c (Å): 13.6882 13.6882 3.8088
angles (deg): 90.00 90.00 157.44
Atoms (fractional coordinates):
Sr 0.0000 0.0000 0.0000
La 0.2001 0.7999 0.0000
La 0.3972 0.6028 0.0000
La 0.6028 0.3972 0.0000
La 0.7999 0.2001 0.0000
Ti 0.5000 0.5000 0.5000
Al 0.1015 0.8985 0.5000
Al 0.2992 0.7008 0.5000
Al 0.7008 0.2992 0.5000
Al 0.8985 0.1015 0.5000
O 0.0000 0.5000 0.5000
O 0.1003 0.4024 0.5000
O 0.1034 0.8966 0.0000
O 0.1993 0.3041 0.5000
O 0.2999 0.7001 0.0000
O 0.3041 0.1993 0.5000
O 0.4024 0.1003 0.5000
O 0.5000 0.0000 0.5000
O 0.5000 0.5000 0.0000
O 0.5976 0.8997 0.5000
O 0.6959 0.8007 0.5000
O 0.7001 0.2999 0.0000
O 0.8007 0.6959 0.5000
O 0.8966 0.1034 0.0000
O 0.8997 0.5976 0.5000

Values from the calculation:
- Uncorrected energy: -8.404 eV/atom
- Size of the total moment: 0.0000 μB/atom
- V: 273.8 Å³/cell
- E_form (uncorrected): -3338 meV/atom



# 11
Entry from Alexandria: a relaxed YZn2 crystal (GGA-PBEsol).

a b c (Å): 5.9169 4.6073 8.3872
angles (deg): 90.00 90.00 90.00
Atoms (fractional coordinates):
Y 0.1888 0.2500 0.0828
Y 0.3112 0.7500 0.5828
Y 0.6888 0.2500 0.4172
Y 0.8112 0.7500 0.9172
Zn 0.0152 0.2500 0.7232
Zn 0.1713 0.2500 0.4171
Zn 0.3287 0.7500 0.9171
Zn 0.4848 0.7500 0.2232
Zn 0.5152 0.2500 0.7768
Zn 0.6713 0.2500 0.0829
Zn 0.8287 0.7500 0.5829
Zn 0.9848 0.7500 0.2768

Values from the calculation:
- Uncorrected energy: -3.645 eV/atom
- Size of the total moment: 0.0000 μB/atom
- ΔE_f: -0.32 eV/atom
- V: 228.6 Å³/cell



# 12
Entry from Alexandria: a relaxed BaLi2Hg crystal (GGA-PBEsol).

a b c (Å): 6.3811 6.3811 6.3811
angles (deg): 43.42 43.42 43.42
Atoms (fractional coordinates):
Ba 0.0000 0.0000 0.0000
Li 0.1955 0.1955 0.1955
Li 0.8045 0.8045 0.8045
Hg 0.5000 0.5000 0.5000

Values from the calculation:
- Uncorrected energy: -1.904 eV/atom
- Size of the total moment: 0.0000 μB/atom
- ΔE_f: -0.24 eV/atom
- V: 111.3 Å³/cell



What did the sixth record say?
Entry from Alexandria: a relaxed LaZnIr crystal (GGA-PBEsol).

a b c (Å): 4.6105 4.6105 4.6105
angles (deg): 60.00 60.00 60.00
Atoms (fractional coordinates):
La 0.0000 0.0000 0.0000
Zn 0.5000 0.5000 0.5000
Ir 0.2500 0.2500 0.2500

Values from the calculation:
- Uncorrected energy: -5.908 eV/atom
- Size of the total moment: 0.0001 μB/atom
- ΔE_f: -0.32 eV/atom
- V: 69.3 Å³/cell